Zn2AsIr PBE relaxed; calculated total energy = -15.666 eV per cell; crystal system = monoclinic; size of the total moment = 0.0 μB/f.u.; ρ = 10.504 g cm⁻³; energy of formation from the pure elements = 0.0980 eV/atom; DOS at the Fermi energy = 2.01 states/eV/f.u.
1.0
2.969 0.000 0.000
0.000 4.726 0.000
-0.414 0.000 4.483
Zn As Ir
2 1 1
direct
0.230 0.000 0.262
0.770 0.000 0.738
0.000 0.500 0.000
0.500 0.500 0.500

ZnAsIr PBE relaxed; polymorph energy (0 for the lowest one) = 62 meV per atom; calculated total energy = -15.171 eV per cell; crystal system = tetragonal; size of the total moment = 0.0 μB/f.u.; ρ = 10.870 g cm⁻³; energy of formation from the pure elements = -0.1290 eV/atom; DOS at the Fermi energy = 1.27 states/eV/f.u.
1.0
2.972 0.000 0.000
0.000 2.972 0.000
0.000 0.000 5.753
Zn As Ir
1 1 1
direct
0.000 0.000 0.000
0.000 0.000 0.556
0.500 0.500 0.302

ZnAsIr PBE relaxed; polymorph energy (0 for the lowest one) = 156 meV per atom; calculated total energy = -14.891 eV per cell; crystal system = trigonal; size of the total moment = 0.0 μB/f.u.; ρ = 11.102 g cm⁻³; energy of formation from the pure elements = -0.0356 eV/atom; DOS at the Fermi energy = 1.05 states/eV/f.u.
1.0
3.103 0.000 0.000
-1.552 2.688 0.000
0.000 0.000 5.963
Zn As Ir
1 1 1
direct
0.000 0.000 0.000
0.667 0.333 0.384
0.333 0.667 0.671

Repeat the third record exactly.
ZnAsIr PBE relaxed; polymorph energy (0 for the lowest one) = 156 meV per atom; calculated total energy = -14.891 eV per cell; crystal system = trigonal; size of the total moment = 0.0 μB/f.u.; ρ = 11.102 g cm⁻³; energy of formation from the pure elements = -0.0356 eV/atom; DOS at the Fermi energy = 1.05 states/eV/f.u.
1.0
3.103 0.000 0.000
-1.552 2.688 0.000
0.000 0.000 5.963
Zn As Ir
1 1 1
direct
0.000 0.000 0.000
0.667 0.333 0.384
0.333 0.667 0.671

- Which formula does entry 2 have?
  ZnAsIr

- The lowest calculated total energy belongs to which entry?
  Zn2AsIr